Entry 1:
Here is an optimized crystal structure of LuBeAsOs from OQMD via LeMat-Bulk. Energies are from GGA-PBE.

- Total magnetic moment: 0.00 μB/atom
- Energy above the lowest structure with this stoichiometry: 0 meV/atom

```
data_LuBeAsOs
_cell_length_a 6.255
_cell_length_b 6.255
_cell_length_c 6.255
_cell_angle_alpha 90.00
_cell_angle_beta 90.00
_cell_angle_gamma 90.00
_space_group_name_H-M_alt 'F -4 3 m'
_space_group_IT_number 216
_space_group_name_Hall 'F -4 2 3'
loop_
_atom_site_label
_atom_site_fract_x
_atom_site_fract_y
_atom_site_fract_z
Lu1 0.000 0.000 0.000
Be1 0.250 0.250 0.750
As1 0.250 0.250 0.250
Os1 0.000 0.000 0.500
```

***

Entry 2:
Here is an optimized crystal structure of CsCdFeS3 from OQMD via LeMat-Bulk. Energies are from GGA-PBE.

- Total magnetic moment: 0.71 μB/atom
- Energy above the lowest structure with this stoichiometry: 124 meV/atom

```
data_CsCdFeS3
_cell_length_a 3.784
_cell_length_b 15.702
_cell_length_c 10.634
_cell_angle_alpha 90.00
_cell_angle_beta 90.00
_cell_angle_gamma 90.00
_space_group_name_H-M_alt 'C m c m'
_space_group_IT_number 63
_space_group_name_Hall '-C 2c 2'
loop_
_atom_site_label
_atom_site_fract_x
_atom_site_fract_y
_atom_site_fract_z
Cs1 0.000 0.245 0.250
Cd1 0.000 0.034 0.750
Fe1 0.000 0.500 0.000
S1 0.000 0.100 0.536
S2 0.000 0.431 0.750
```

***

Entry 3:
Here is an optimized crystal structure of NaGdCoTe3 from OQMD via LeMat-Bulk. Energies are from GGA-PBE.

- Total magnetic moment: 0.28 μB/atom
- Energy above the lowest structure with this stoichiometry: 0 meV/atom

```
data_NaGdCoTe3
_cell_length_a 8.926
_cell_length_b 4.206
_cell_length_c 9.803
_cell_angle_alpha 90.00
_cell_angle_beta 104.03
_cell_angle_gamma 90.00
_space_group_name_H-M_alt 'P 1 21/m 1'
_space_group_IT_number 11
loop_
_space_group_symop_operation_xyz
'x,y,z'
'-x,-y,-z'
'-x,y+1/2,-z'
'x,-y+1/2,z'
loop_
_atom_site_label
_atom_site_fract_x
_atom_site_fract_y
_atom_site_fract_z
Na1 0.201 0.250 0.253
Gd1 0.323 0.750 0.856
Co1 0.075 0.250 0.589
Te1 0.073 0.250 0.852
Te2 0.206 0.750 0.527
Te3 0.437 0.750 0.179
```